Here is a relaxed KV2ReO8 crystal from the Alexandria database. Energies are from PBE with a Hubbard U.

a b c (Å): 5.4697 5.4697 7.7681
angles (deg): 88.67 88.67 62.69
Element x y z (fractional)
1 O 0.8122 0.2866 0.1647
2 Re 0.0000 0.0000 0.0000
3 K 0.0000 0.0000 0.5000
4 O 0.3177 0.3177 0.5743
5 V 0.3532 0.3532 0.7815
6 O 0.8051 0.8051 0.0895
7 O 0.7134 0.1878 0.8353
8 O 0.1949 0.1949 0.9105
9 O 0.1878 0.7134 0.8353
10 V 0.6468 0.6468 0.2185
11 O 0.2866 0.8122 0.1647
12 O 0.6822 0.6822 0.4257

As for the space group: No. 12. The value obtained for the energy is -89.61 eV/cell. As for the crystal system: monoclinic.